Entry 1:
This record from the Alexandria database describes an optimized crystal structure of CePrTe2Au. The functional is PBE.

space group: P4/nmm, No. 129
DFT total energy: -5.2326 eV per atom
formation energy from raw total energies: -1.1778 eV per atom

abc: 4.447 4.447 15.271
angles: 90.00 90.00 90.00
Sites, in units of the cell vectors:
1 Te 0.500 0.000 0.301
2 Te 0.000 0.500 0.120
3 Te 0.500 0.000 0.880
4 Te 0.000 0.500 0.699
5 Pr 0.500 0.000 0.645
6 Pr 0.000 0.500 0.355
7 Ce 0.000 0.500 0.909
8 Ce 0.500 0.000 0.091
9 Au 0.500 0.500 0.500
10 Au 0.000 0.000 0.500

Entry 2:
This record from the Alexandria database describes an optimized crystal structure of CePrTlAu. The functional is PBE.

space group: F-43m, No. 216
energy relative to the elements: -0.427 eV per atom
DFT total energy: -4.5165 eV per atom
offset from the most stable computed form: 0.209 eV per formula unit

abc: 5.416 5.416 5.416
angles: 60.00 60.00 60.00
Sites, in units of the cell vectors:
1 Au 0.250 0.250 0.250
2 Tl 0.750 0.750 0.750
3 Ce 0.500 0.500 0.500
4 Pr 0.000 0.000 0.000

Entry 3:
This record from the Alexandria database describes an optimized crystal structure of CePrTlAu. The functional is PBE.

space group: P4mm, No. 99
energy relative to the elements: -0.480 eV per atom
DFT total energy: -4.5688 eV per atom
offset from the most stable computed form: 0.000 eV per formula unit

abc: 3.698 3.698 8.153
angles: 90.00 90.00 90.00
Sites, in units of the cell vectors:
1 Pr 0.000 0.000 0.836
2 Ce 0.000 0.000 0.379
3 Tl 0.500 0.500 0.110
4 Au 0.500 0.500 0.603

Entry 4:
This record from the Alexandria database describes an optimized crystal structure of Ce7Pt4Au. The functional is PBE.

space group: C2/m, No. 12
energy relative to the elements: -0.682 eV per atom
DFT total energy: -6.4301 eV per atom

abc: 5.578 8.623 7.236
angles: 76.28 67.33 71.13
Sites, in units of the cell vectors:
1 Pt 0.294 0.331 0.081
2 Pt 0.706 0.669 0.919
3 Pt 0.559 0.234 0.649
4 Pt 0.441 0.766 0.351
5 Ce 0.309 0.635 0.747
6 Ce 0.188 0.108 0.515
7 Ce 0.932 0.366 0.769
8 Ce 0.500 0.000 0.000
9 Ce 0.068 0.634 0.231
10 Ce 0.691 0.365 0.253
11 Ce 0.812 0.892 0.485
12 Au 0.000 0.000 0.000